# 1
Compound: Sc3W
Source: Alexandria via LeMat-Bulk
Functional: PBEsol
Structure: optimized geometry

## Properties
**Formation energy**: 0.265 eV per atom
**E**: -8.14 eV/atom
**Space group**: Pm-3m (221)
**V**: 19.83 Å³/atom
**Total magnetic moment**: 0.00 μB/cell

Lattice parameters (Å, degrees): 4.297 4.297 4.297 90.00 90.00 90.00
Atoms (fractional coordinates):
Sc 0.000 0.500 0.000
Sc 0.500 0.000 0.000
Sc 0.000 0.000 0.500
W 0.500 0.500 0.500

# 2
Compound: ScW
Source: Alexandria via LeMat-Bulk
Functional: PBEsol
Structure: optimized geometry

## Properties
**Formation energy**: 0.401 eV per atom
**E**: -9.81 eV/atom
**Space group**: Pmmn (59)
**V**: 17.74 Å³/atom
**Total magnetic moment**: 0.00 μB/cell

Lattice parameters (Å, degrees): 2.726 4.782 5.442 90.00 90.00 90.00
Atoms (fractional coordinates):
Sc 0.500 0.500 0.389
Sc 0.000 0.000 0.611
W 0.000 0.500 0.895
W 0.500 0.000 0.105

# 3
Compound: ScW
Source: Alexandria via LeMat-Bulk
Functional: PBEsol
Structure: optimized geometry

## Properties
**Formation energy**: 0.361 eV per atom
**E**: -9.85 eV/atom
**Space group**: Cmcm (63)
**V**: 18.21 Å³/atom
**Total magnetic moment**: 0.00 μB/cell

Lattice parameters (Å, degrees): 2.785 4.567 5.892 90.00 103.67 90.00
Atoms (fractional coordinates):
W 0.562 0.750 0.123
W 0.438 0.250 0.877
Sc 0.176 0.250 0.353
Sc 0.824 0.750 0.647

# 4
Compound: ScW2
Source: Alexandria via LeMat-Bulk
Functional: PBEsol
Structure: optimized geometry

## Properties
**Formation energy**: 0.524 eV per atom
**E**: -10.88 eV/atom
**Space group**: P-3m1 (164)
**V**: 17.10 Å³/atom
**Total magnetic moment**: 0.00 μB/cell

Lattice parameters (Å, degrees): 2.844 2.844 7.322 90.00 90.00 120.00
Atoms (fractional coordinates):
Sc 0.000 0.000 0.000
W 0.667 0.333 0.340
W 0.333 0.667 0.660